No. 1
DFT (PBEsol) results for BaLaPt after structural relaxation.

The structure belongs to space group P3m1 (No. 156); the cell edges are 4.3498, 4.3498 and 7.0770 Å and the angles 90.00°, 90.00° and 120.00°. The distinct sites, in fractional coordinates, are Ba at (0.0000, 0.0000, 0.0000), La at (0.6667, 0.3333, 0.4587) and Pt at (0.3333, 0.6667, 0.2685).

No. 2
DFT (PBEsol) results for BaLa2Pt after structural relaxation.

The distance to the lowest polymorph of the same formula is 111 meV/atom.

The structure belongs to space group P4mm (No. 99); the cell edges are 3.7621, 3.7621 and 9.1081 Å and the angles 90.00°, 90.00° and 90.00°. The distinct sites, in fractional coordinates, are Ba at (0.0000, 0.0000, 0.0000), La at (0.0000, 0.0000, 0.6145), La at (0.5000, 0.5000, 0.3495) and Pt at (0.5000, 0.5000, 0.7588).

No. 3
DFT (PBEsol) results for BaLaPt2 after structural relaxation.

The distance to the lowest polymorph of the same formula is 121 meV/atom.

The structure belongs to space group Fm-3m (No. 225); the cell edges are 7.3504, 7.3504 and 7.3504 Å and the angles 90.00°, 90.00° and 90.00°. The distinct sites, in fractional coordinates, are Ba at (0.0000, 0.0000, 0.0000), La at (0.0000, 0.0000, 0.5000) and Pt at (0.2500, 0.2500, 0.2500).

No. 4
DFT (PBEsol) results for BaLaPt2 after structural relaxation.

The distance to the lowest polymorph of the same formula is 76 meV/atom.

The structure belongs to space group R-3m (No. 166, hexagonal axes); the cell edges are 4.2844, 4.2844 and 21.5327 Å and the angles 90.00°, 90.00° and 120.00°. The distinct sites, in fractional coordinates, are Ba at (0.0000, 0.0000, 0.0000), La at (0.0000, 0.0000, 0.5000) and Pt at (0.0000, 0.0000, 0.2396).

No. 5
DFT (PBEsol) results for BaLa2Pt after structural relaxation.

The distance to the lowest polymorph of the same formula is 0 meV/atom.

The structure belongs to space group R-3m (No. 166, hexagonal axes); the cell edges are 4.2181, 4.2181 and 29.9388 Å and the angles 90.00°, 90.00° and 120.00°. The distinct sites, in fractional coordinates, are Ba at (0.0000, 0.0000, 0.0000), La at (0.0000, 0.0000, 0.2188) and Pt at (0.0000, 0.0000, 0.5000).

No. 6
DFT (PBEsol) results for BaLaPt2 after structural relaxation.

The distance to the lowest polymorph of the same formula is 49 meV/atom.

The structure belongs to space group Amm2 (No. 38); the cell edges are 4.5019, 4.0474 and 11.6845 Å and the angles 90.00°, 90.00° and 90.00°. The distinct sites, in fractional coordinates, are Ba at (0.0000, 0.0000, 0.0000), La at (0.5000, 0.0000, 0.2690), Pt at (0.0000, 0.0000, 0.7303) and Pt at (0.5000, 0.0000, 0.5750).

no.,calculated volume (Å³/atom),energy of formation (eV per formula unit),ρ (Mg/m³)
1,38.65,-1.8,6.75
2,32.23,-1.5,7.86
3,24.82,-2.9,11.15
4,28.53,-3.1,9.70
5,38.44,-2.0,6.59
6,26.61,-3.2,10.40